First-principles (meta-GGA SCAN) data for a PBEsol-optimized structure of CrCuAu2, as listed in Alexandria via LeMat-Bulk.

Lattice parameters (Å, degrees): 3.1508 3.2540 5.8445 90.00 90.00 90.00
With the nearest neighbours (Å) after each atom.
Space group Pmmm (No. 47)
Inequivalent atoms, fractional coordinates:
Cr 0.0000 0.0000 0.0000 [1 per cell]  8 Au 2.72, 2 Cu 2.92
Cu 0.0000 0.0000 0.5000 [1 per cell]  8 Au 2.67, 2 Cr 2.92
Au 0.5000 0.5000 0.2577 [2 per cell]  4 Cu 2.67, 4 Cr 2.72, 1 Au 2.83

- DFT total energy (eV/atom) = -43.09
- E_form (kJ per mole of atoms) = -11.14

***

First-principles (meta-GGA SCAN) data for a PBEsol-optimized structure of ScCrCuAu2, as listed in Alexandria via LeMat-Bulk.

Lattice parameters (Å, degrees): 4.7195 4.7195 4.4658 90.00 90.00 90.00
With the nearest neighbours (Å) after each atom.
Space group P4/mmm (No. 123)
Inequivalent atoms, fractional coordinates:
Sc 0.0000 0.0000 0.0000 [1 per cell]  2 Cu 2.23
Cr 0.5000 0.5000 0.0000 [1 per cell]  8 Au 3.25, 4 Sc 3.34
Cu 0.0000 0.0000 0.5000 [1 per cell]  2 Sc 2.23, 4 Au 2.36
Au 0.0000 0.5000 0.5000 [2 per cell]  2 Cu 2.36

- DFT total energy (eV/atom) = -36.93
- E_form (kJ per mole of atoms) = 28.28

***

First-principles (meta-GGA SCAN) data for a PBEsol-optimized structure of CrAuF3, as listed in Alexandria via LeMat-Bulk.

Lattice parameters (Å, degrees): 3.9946 3.9946 3.9946 90.00 90.00 90.00
With the nearest neighbours (Å) after each atom.
Space group Pm-3m (No. 221)
Inequivalent atoms, fractional coordinates:
Cr 0.0000 0.0000 0.0000 [1 per cell]  6 F 2.00
Au 0.5000 0.5000 0.5000 [1 per cell]  12 F 2.82
F 0.0000 0.0000 0.5000 [3 per cell]  2 Cr 2.00

- DFT total energy (eV/atom) = -21.41
- energy above the lowest structure with this stoichiometry (meV per atom) = 0

***

First-principles (meta-GGA SCAN) data for a PBEsol-optimized structure of CrAuF3, as listed in Alexandria via LeMat-Bulk.

Lattice parameters (Å, degrees): 4.3495 4.3495 4.3495 90.00 90.00 90.00
With the nearest neighbours (Å) after each atom.
Space group Pm-3m (No. 221)
Inequivalent atoms, fractional coordinates:
Cr 0.0000 0.0000 0.0000 [1 per cell]  12 F 3.08
Au 0.5000 0.5000 0.5000 [1 per cell]  6 F 2.17
F 0.0000 0.5000 0.5000 [3 per cell]  2 Au 2.17

- DFT total energy (eV/atom) = -20.36
- energy above the lowest structure with this stoichiometry (meV per atom) = 1050

***

First-principles (meta-GGA SCAN) data for a PBEsol-optimized structure of Cr3AuF, as listed in Alexandria via LeMat-Bulk.

Lattice parameters (Å, degrees): 4.9553 4.9553 4.9553 90.00 90.00 90.00
With the nearest neighbours (Å) after each atom.
Space group Pm-3m (No. 221)
Inequivalent atoms, fractional coordinates:
Cr 0.0000 0.0000 0.5000 [3 per cell]  2 Au 2.48
Au 0.0000 0.0000 0.0000 [1 per cell]  6 Cr 2.48
F 0.5000 0.5000 0.5000 [1 per cell]  12 Cr 3.50

- DFT total energy (eV/atom) = -24.97

***

First-principles (meta-GGA SCAN) data for a PBEsol-optimized structure of CrAuOF2, as listed in Alexandria via LeMat-Bulk.

Lattice parameters (Å, degrees): 4.0319 4.0319 3.6524 90.00 90.00 90.00
With the nearest neighbours (Å) after each atom.
Space group P4/mmm (No. 123)
Inequivalent atoms, fractional coordinates:
Cr 0.0000 0.0000 0.0000 [1 per cell]  2 O 1.83, 4 F 2.02
Au 0.5000 0.5000 0.5000 [1 per cell]  8 F 2.72, 4 O 2.85
O 0.0000 0.0000 0.5000 [1 per cell]  2 Cr 1.83
F 0.0000 0.5000 0.0000 [2 per cell]  2 Cr 2.02

- DFT total energy (eV/atom) = -21.73

***

First-principles (meta-GGA SCAN) data for a PBEsol-optimized structure of CrP2AuF, as listed in Alexandria via LeMat-Bulk.

Lattice parameters (Å, degrees): 4.5709 4.5709 5.3127 90.00 90.00 90.00
With the nearest neighbours (Å) after each atom.
Space group P4/mmm (No. 123)
Inequivalent atoms, fractional coordinates:
Cr 0.0000 0.0000 0.0000 [1 per cell]  2 Au 2.66
P 0.0000 0.5000 0.5000 [2 per cell]  2 Au 2.29
Au 0.0000 0.0000 0.5000 [1 per cell]  4 P 2.29
F 0.5000 0.5000 0.0000 [1 per cell]  4 Cr 3.23, 8 P 3.50

- DFT total energy (eV/atom) = -21.77

***

First-principles (meta-GGA SCAN) data for a PBEsol-optimized structure of CrFe3Au, as listed in Alexandria via LeMat-Bulk.

Lattice parameters (Å, degrees): 4.1295 4.1295 4.1295 90.00 90.00 90.00
With the nearest neighbours (Å) after each atom.
Space group Pm-3m (No. 221)
Inequivalent atoms, fractional coordinates:
Cr 0.0000 0.0000 0.0000 [1 per cell]  6 Fe 2.06
Fe 0.0000 0.0000 0.5000 [3 per cell]  2 Cr 2.06
Au 0.5000 0.5000 0.5000 [1 per cell]  12 Fe 2.92

- DFT total energy (eV/atom) = -27.23
- E_form (kJ per mole of atoms) = 111.11

***

First-principles (meta-GGA SCAN) data for a PBEsol-optimized structure of Cr2FeAu, as listed in Alexandria via LeMat-Bulk.

Lattice parameters (Å, degrees): 5.9532 5.9532 5.9532 90.00 90.00 90.00
With the nearest neighbours (Å) after each atom.
Space group F-43m (No. 216)
Inequivalent atoms, fractional coordinates:
Cr 0.0000 0.0000 0.0000 [4 per cell]  4 Cr 2.58, 4 Au 2.58
Cr 0.2500 0.2500 0.2500 [4 per cell]  4 Cr 2.58, 4 Fe 2.58
Fe 0.0000 0.0000 0.5000 [4 per cell]  4 Cr 2.58, 4 Au 2.58
Au 0.2500 0.2500 0.7500 [4 per cell]  4 Cr 2.58, 4 Fe 2.58

- DFT total energy (eV/atom) = -30.90
- E_form (kJ per mole of atoms) = 10.59

***

First-principles (meta-GGA SCAN) data for a PBEsol-optimized structure of TlCrGa2Au, as listed in Alexandria via LeMat-Bulk.

Lattice parameters (Å, degrees): 4.7968 4.7968 5.2019 90.00 90.00 90.00
With the nearest neighbours (Å) after each atom.
Space group P4/mmm (No. 123)
Inequivalent atoms, fractional coordinates:
Tl 0.0000 0.0000 0.0000 [1 per cell]  4 Cr 3.39, 8 Ga 3.54
Cr 0.5000 0.5000 0.0000 [1 per cell]  2 Au 2.60
Ga 0.0000 0.5000 0.5000 [2 per cell]  2 Au 2.40
Au 0.5000 0.5000 0.5000 [1 per cell]  4 Ga 2.40, 2 Cr 2.60

- DFT total energy (eV/atom) = -38.31
- E_form (kJ per mole of atoms) = 19.97

***

First-principles (meta-GGA SCAN) data for a PBEsol-optimized structure of CrGeAu3, as listed in Alexandria via LeMat-Bulk.

Lattice parameters (Å, degrees): 4.7555 4.7555 4.7555 90.00 90.00 90.00
With the nearest neighbours (Å) after each atom.
Space group Pm-3m (No. 221)
Inequivalent atoms, fractional coordinates:
Cr 0.0000 0.0000 0.0000 [1 per cell]  12 Au 3.36
Ge 0.5000 0.5000 0.5000 [1 per cell]  6 Au 2.38
Au 0.0000 0.5000 0.5000 [3 per cell]  2 Ge 2.38

- DFT total energy (eV/atom) = -48.61
- E_form (kJ per mole of atoms) = 36.57
- energy above the lowest structure with this stoichiometry (meV per atom) = 0

***

First-principles (meta-GGA SCAN) data for a PBEsol-optimized structure of CrGeAu3, as listed in Alexandria via LeMat-Bulk.

Lattice parameters (Å, degrees): 4.8163 4.8163 4.8163 90.00 90.00 90.00
With the nearest neighbours (Å) after each atom.
Space group Pm-3m (No. 221)
Inequivalent atoms, fractional coordinates:
Cr 0.0000 0.0000 0.0000 [1 per cell]  6 Au 2.41
Ge 0.5000 0.5000 0.5000 [1 per cell]  12 Au 3.41
Au 0.0000 0.0000 0.5000 [3 per cell]  2 Cr 2.41

- DFT total energy (eV/atom) = -48.16
- E_form (kJ per mole of atoms) = 80.06
- energy above the lowest structure with this stoichiometry (meV per atom) = 451

***

Which of these has the highest DFT total energy? number 4

***

What is the DFT total energy in the third record? -21.41 eV/atom

***

Which value of DFT total energy does entry 3 give? -21.41 eV/atom